# 1
{
  "formula": "SbRuF2",
  "functional": "PBE",
  "state": "optimized geometry",
  "final_energy_ev_per_atom": -4.57,
  "vol_a3_per_atom": 15.05,
  "e_form_raw_ev_per_atom": -0.285,
  "n_ef_per_ev_atom": 0.63,
  "e_above_lowest_polymorph_mev_per_atom": 376.9,
  "cell": [[0.0000, 3.1109, 3.1109], [3.1109, 0.0000, 3.1109], [3.1109, 3.1109, 0.0000]],
  "species": ["Sb", "Ru", "F", "F"],
  "frac_coords": [[0.0000, 0.0000, 0.0000], [0.5000, 0.5000, 0.5000], [0.2500, 0.2500, 0.2500], [0.7500, 0.7500, 0.7500]]
}

=====

# 2
{
  "formula": "Y6Al5Cu",
  "functional": "PBE",
  "state": "optimized geometry",
  "final_energy_ev_per_atom": -5.52,
  "vol_a3_per_atom": 23.24,
  "n_ef_per_ev_atom": 0.66,
  "cell": [[2.5429, -7.6314, 0.0000], [2.5429, 7.6314, 0.0000], [0.0000, 0.0000, 7.1853]],
  "species": ["Y", "Y", "Y", "Y", "Y", "Y", "Al", "Al", "Al", "Al", "Al", "Cu"],
  "frac_coords": [[0.0000, 0.0000, 0.2443], [0.0000, 0.0000, 0.7557], [0.3364, 0.6636, 0.2471], [0.3364, 0.6636, 0.7529], [0.6636, 0.3364, 0.2471], [0.6636, 0.3364, 0.7529], [0.1666, 0.8334, 0.0000], [0.1680, 0.8320, 0.5000], [0.5000, 0.5000, 0.5000], [0.8320, 0.1680, 0.5000], [0.8334, 0.1666, 0.0000], [0.5000, 0.5000, 0.0000]]
}